Computed, not measured: an optimized crystal structure of Pt5Rh3 at the GGA-PBE level of DFT.

Calculated values
The value obtained for the density is 16846 kg/m3. The calculation puts the formation energy at 5.51 kcal/mol of atoms. For the volume, the calculation gives 15.82 Å³/atom.

```
Pt5Rh3
1.0
7.642 0.000 0.000
-3.821 6.618 0.000
0.000 0.000 5.005
Pt Rh
10 6
Direct
0.000 0.216 0.250
0.000 0.784 0.750
0.216 0.000 0.250
0.216 0.216 0.750
0.333 0.667 0.000
0.333 0.667 0.500
0.667 0.333 0.000
0.667 0.333 0.500
0.784 0.000 0.750
0.784 0.784 0.250
0.000 0.401 0.750
0.000 0.599 0.250
0.401 0.000 0.750
0.401 0.401 0.250
0.599 0.000 0.250
0.599 0.599 0.750
```